# 1
VASP calculation (GGA-PBE) on an optimized crystal structure of TbMg2Pt3.

a b c (Å): 3.3950 3.3950 9.3520
angles (deg): 90.00 90.00 90.00
Space group P4/mmm (No. 123)
Asymmetric unit:
Tb 0.0000 0.0000 0.0000
Mg 0.0000 0.0000 0.3455
Pt 0.5000 0.5000 0.1856
Pt 0.5000 0.5000 0.5000

## Properties
Volume, Å³/cell: 107.8
Total energy, eV for the cell shown: -31.67
Total magnetization, μB/atom: 0.000
Formation energy from the elements, eV per atom: -0.955



# 2
VASP calculation (GGA-PBE) on an optimized crystal structure of Tm3InCo8.

a b c (Å): 4.9877 4.9877 24.5912
angles (deg): 90.00 90.00 120.00
Space group R3m (No. 160, hexagonal axes)
Asymmetric unit:
Tm 0.0000 0.0000 0.0000
Tm 0.0000 0.0000 0.1268
Tm 0.0000 0.0000 0.6214
In 0.0000 0.0000 0.4985
Co 0.0000 0.0000 0.3122
Co 0.0000 0.0000 0.8121
Co 0.0005 0.5002 0.0624
Co 0.9997 0.4998 0.5616

## Properties
Volume, Å³/cell: 529.8
Total energy, eV for the cell shown: -226.81
Total magnetization, μB/atom: 0.722
Formation energy from the elements, eV per atom: -0.217



# 3
VASP calculation (GGA-PBE) on an optimized crystal structure of Be2FeHIr.

a b c (Å): 3.7928 3.7928 3.0529
angles (deg): 90.00 90.00 90.00
Space group P4/mmm (No. 123)
Asymmetric unit:
Be 0.0000 0.5000 0.0000
Fe 0.0000 0.0000 0.5000
H 0.0000 0.0000 0.0000
Ir 0.5000 0.5000 0.5000

## Properties
Volume, Å³/cell: 43.9
Total energy, eV for the cell shown: -28.92
Total magnetization, μB/atom: 0.356



# 4
VASP calculation (GGA-PBE) on an optimized crystal structure of Lu2MgGe.

a b c (Å): 3.6867 3.6867 6.8204
angles (deg): 90.00 90.00 90.00
Space group P4/mmm (No. 123)
Asymmetric unit:
Lu 0.0000 0.0000 0.2337
Mg 0.5000 0.5000 0.5000
Ge 0.5000 0.5000 0.0000

## Properties
Volume, Å³/cell: 92.7
Total energy, eV for the cell shown: -16.64
Total magnetization, μB/atom: 0.000
Formation energy from the elements, eV per atom: -0.347



Copy entry 4 word for word.
VASP calculation (GGA-PBE) on an optimized crystal structure of Lu2MgGe.

a b c (Å): 3.6867 3.6867 6.8204
angles (deg): 90.00 90.00 90.00
Space group P4/mmm (No. 123)
Asymmetric unit:
Lu 0.0000 0.0000 0.2337
Mg 0.5000 0.5000 0.5000
Ge 0.5000 0.5000 0.0000

## Properties
Volume, Å³/cell: 92.7
Total energy, eV for the cell shown: -16.64
Total magnetization, μB/atom: 0.000
Formation energy from the elements, eV per atom: -0.347